An optimized crystal structure of SbTeS2N, computed with PBE.

Cell lengths 5.175, 5.175, 3.937 Å; angles 90.00, 90.00, 90.00 degrees
Fractional positions:
Sb  0.000  0.000  0.000
Te  0.500  0.500  0.500
S  0.000  0.500  0.500
S  0.500  0.000  0.500
N  0.500  0.500  0.000

## Properties
N(E_F) = 0.4984 states/eV/atom
Electronic total energy = -3.91 eV per atom
Formation energy (no corrections) = 857 meV per atom